[1]
LaCuW2 | GGA-PBE | optimized geometry

Output
Formation enthalpy at 0 K in meV/atom: 775.9
Crystal system: orthorhombic
M_tot in μB/f.u.: 0.0

abc: 3.4835 5.0043 9.1401
angles: 90.00 90.00 90.00
Closest atoms and distances in Å follow each position.
Space group Imm2 (No. 44)
One atom of each set of equivalent atoms:
La 0.0000 0.0000 0.0000 (multiplicity 2)  8 W 3.04-3.25, 4 Cu 3.08-3.22
Cu 0.0000 0.5000 0.2222 (multiplicity 2)  6 W 2.88-3.08, 4 La 3.08-3.22
W 0.0000 0.0000 0.4712 (multiplicity 2)  2 W 2.52
W 0.0000 0.5000 0.7725 (multiplicity 2)  2 W 2.52

=====

[2]
LaCuW2 | GGA-PBE | optimized geometry

Output
Formation enthalpy at 0 K in meV/atom: 676.6
Crystal system: tetragonal
M_tot in μB/f.u.: 0.0

abc: 2.8060 2.8060 9.2031
angles: 90.00 90.00 90.00
Closest atoms and distances in Å follow each position.
Space group P4/mmm (No. 123)
One atom of each set of equivalent atoms:
La 0.0000 0.0000 0.0000 (multiplicity 1)  4 La 2.81
Cu 0.0000 0.0000 0.5000 (multiplicity 1)  8 W 2.72, 4 Cu 2.81
W 0.5000 0.5000 0.2985 (multiplicity 2)  4 Cu 2.72, 4 W 2.81

=====

[3]
LaCuW2 | GGA-PBE | optimized geometry

Output
Formation enthalpy at 0 K in meV/atom: 619.5
Crystal system: orthorhombic
M_tot in μB/f.u.: 0.0

abc: 2.7556 5.0300 10.8316
angles: 90.00 90.00 90.00
Closest atoms and distances in Å follow each position.
Space group Immm (No. 71)
One atom of each set of equivalent atoms:
La 0.0000 0.0000 0.0000 (multiplicity 2)  2 La 2.76, 4 Cu 2.87
Cu 0.0000 0.0000 0.5000 (multiplicity 2)  4 W 2.75, 2 Cu 2.76, 4 La 2.87
W 0.0000 0.5000 0.2201 (multiplicity 4)  2 Cu 2.75, 6 W 2.76-2.94

=====

[4]
LaCuW2 | GGA-PBE | optimized geometry

Output
Formation enthalpy at 0 K in meV/atom: 371.1
Crystal system: monoclinic
M_tot in μB/f.u.: 0.0

abc: 3.2704 3.2679 7.3307
angles: 90.00 90.48 90.00
Closest atoms and distances in Å follow each position.
Space group Pm (No. 6)
One atom of each set of equivalent atoms:
La 0.0000 0.0000 0.0000 (multiplicity 1)  4 Cu 3.22-3.25, 5 W 3.25-3.60, 4 La 3.27
Cu 0.5032 0.5000 0.6910 (multiplicity 1)  5 W 2.73-2.77
W 0.0007 0.0000 0.4911 (multiplicity 1)  4 W 2.64-2.67, 4 Cu 2.73-2.74
W 0.5033 0.5000 0.3125 (multiplicity 1)  4 W 2.64-2.67, 1 Cu 2.77

=====

[5]
LaCuW2 | GGA-PBE | optimized geometry

Output
Formation enthalpy at 0 K in meV/atom: 643.4
Crystal system: monoclinic
M_tot in μB/f.u.: 0.1

abc: 8.9525 2.8190 6.3375
angles: 90.00 94.83 90.00
Closest atoms and distances in Å follow each position.
Space group Cm (No. 8)
One atom of each set of equivalent atoms:
La 0.0000 0.0000 0.0000 (multiplicity 2)  2 La 2.82, 1 W 3.02, 1 Cu 3.14
Cu 0.2475 0.5000 0.3158 (multiplicity 2)  5 W 2.68-2.77, 2 Cu 2.82
W 0.2324 0.0000 0.6807 (multiplicity 2)  5 W 2.56-2.84, 2 Cu 2.72
W 0.4774 0.0000 0.5006 (multiplicity 2)  5 W 2.56-2.84, 3 Cu 2.68-2.77

=====

[6]
LaCuW2 | GGA-PBE | optimized geometry

Output
Formation enthalpy at 0 K in meV/atom: 1087.1
Crystal system: cubic
M_tot in μB/f.u.: 0.0

abc: 6.5398 6.5398 6.5398
angles: 90.00 90.00 90.00
Closest atoms and distances in Å follow each position.
Space group Fm-3m (No. 225)
One atom of each set of equivalent atoms:
La 0.0000 0.0000 0.0000 (multiplicity 4)  8 W 2.83
Cu 0.0000 0.0000 0.5000 (multiplicity 4)  8 W 2.83
W 0.2500 0.2500 0.2500 (multiplicity 8)  4 La 2.83, 4 Cu 2.83

=====

[7]
LaCuW2 | GGA-PBE | optimized geometry

Output
Formation enthalpy at 0 K in meV/atom: 550.1
Crystal system: tetragonal
M_tot in μB/f.u.: 0.0

abc: 2.7920 2.7920 9.3496
angles: 90.00 90.00 90.00
Closest atoms and distances in Å follow each position.
Space group P4mm (No. 99)
One atom of each set of equivalent atoms:
La 0.0000 0.0000 0.0000 (multiplicity 1)  4 La 2.79
Cu 0.5000 0.5000 0.7286 (multiplicity 1)  4 W 2.68, 4 Cu 2.79
W 0.0000 0.0000 0.5347 (multiplicity 1)  4 Cu 2.68, 8 W 2.79-2.99
W 0.5000 0.5000 0.2942 (multiplicity 1)  8 W 2.79-2.99

=====

[8]
LaCuW2 | GGA-PBE | optimized geometry

Output
Formation enthalpy at 0 K in meV/atom: 483.1
Crystal system: orthorhombic
M_tot in μB/f.u.: 0.0

abc: 3.2821 4.7900 9.4122
angles: 90.00 90.00 90.00
Closest atoms and distances in Å follow each position.
Space group Cmm2 (No. 35)
One atom of each set of equivalent atoms:
La 0.0000 0.0000 0.0000 (multiplicity 2)  4 La 2.90, 2 Cu 3.10, 2 W 3.19
Cu 0.0000 0.5000 0.7211 (multiplicity 2)  2 W 2.60, 4 Cu 2.90
W 0.0000 0.0000 0.5075 (multiplicity 2)  2 Cu 2.60, 6 W 2.62-2.90
W 0.0000 0.5000 0.2901 (multiplicity 2)  6 W 2.62-2.90

=====

[9]
LaCuW | GGA-PBE | optimized geometry

Output
Formation enthalpy at 0 K in meV/atom: 1042.5
Crystal system: cubic
M_tot in μB/f.u.: 0.1

abc: 6.4791 6.4791 6.4791
angles: 90.00 90.00 90.00
Closest atoms and distances in Å follow each position.
Space group F-43m (No. 216)
One atom of each set of equivalent atoms:
La 0.0000 0.0000 0.0000 (multiplicity 4)  4 Cu 2.81
Cu 0.2500 0.2500 0.7500 (multiplicity 4)  4 La 2.81, 4 W 2.81
W 0.0000 0.0000 0.5000 (multiplicity 4)  4 Cu 2.81

=====

[10]
LaCuW2 | GGA-PBE | optimized geometry

Output
Formation enthalpy at 0 K in meV/atom: 866.5
Crystal system: tetragonal
M_tot in μB/f.u.: 0.0

abc: 3.9906 3.9906 9.7348
angles: 90.00 90.00 90.00
Closest atoms and distances in Å follow each position.
Space group I4/mmm (No. 139)
One atom of each set of equivalent atoms:
La 0.0000 0.0000 0.0000 (multiplicity 2)  4 Cu 2.82, 8 W 3.15
Cu 0.0000 0.0000 0.5000 (multiplicity 2)  4 La 2.82, 8 W 3.15
W 0.0000 0.5000 0.2500 (multiplicity 4)  4 W 2.82, 4 La 3.15, 4 Cu 3.15

=====

[11]
La2CuW2 | GGA-PBE | optimized geometry

Output
Formation enthalpy at 0 K in meV/atom: 1043.7
Crystal system: tetragonal
M_tot in μB/f.u.: 0.0

abc: 5.8145 5.8145 7.5234
angles: 90.00 90.00 90.00
Closest atoms and distances in Å follow each position.
Space group I4/mmm (No. 139)
One atom of each set of equivalent atoms:
La 0.0000 0.5000 0.2500 (multiplicity 4)  4 W 2.99
Cu 0.0000 0.0000 0.0000 (multiplicity 2)  2 W 2.57
W 0.0000 0.0000 0.3417 (multiplicity 4)  1 W 2.38, 1 Cu 2.57

=====

[12]
LaCuW2 | GGA-PBE | optimized geometry

Output
Formation enthalpy at 0 K in meV/atom: 729.7
Crystal system: trigonal
M_tot in μB/f.u.: 0.2

abc: 2.8984 2.8984 30.3864
angles: 90.00 90.00 120.00
Closest atoms and distances in Å follow each position.
Space group R3m (No. 160, hexagonal axes)
One atom of each set of equivalent atoms:
La 0.0000 0.0000 0.0000 (multiplicity 3)  6 La 2.90, 3 Cu 3.22
Cu 0.0000 0.0000 0.2429 (multiplicity 3)  3 W 2.68, 6 Cu 2.90
W 0.0000 0.0000 0.5073 (multiplicity 3)  3 Cu 2.68, 9 W 2.90
W 0.0000 0.0000 0.7626 (multiplicity 3)  9 W 2.90

=====

[13]
LaCuW2 | GGA-PBE | optimized geometry

Output
Formation enthalpy at 0 K in meV/atom: 928.0
Crystal system: orthorhombic
M_tot in μB/f.u.: 0.0

abc: 5.5990 9.8428 2.7350
angles: 90.00 90.00 90.00
Closest atoms and distances in Å follow each position.
Space group Cmmm (No. 65)
One atom of each set of equivalent atoms:
La 0.0000 0.0000 0.0000 (multiplicity 2)  2 La 2.73, 2 Cu 2.80
Cu 0.0000 0.5000 0.0000 (multiplicity 2)  2 Cu 2.73, 2 La 2.80
W 0.2500 0.2500 0.5000 (multiplicity 4)  4 W 2.73-2.80

=====

[14]
LaCuW | GGA-PBE | optimized geometry

Output
Formation enthalpy at 0 K in meV/atom: 507.6
Crystal system: tetragonal
M_tot in μB/f.u.: 0.0

abc: 2.9139 2.9139 13.6005
angles: 90.00 90.00 90.00
Closest atoms and distances in Å follow each position.
Space group I4mm (No. 107)
One atom of each set of equivalent atoms:
La 0.0000 0.0000 0.0000 (multiplicity 2)  4 La 2.91, 4 Cu 3.21
Cu 0.0000 0.0000 0.3191 (multiplicity 2)  4 W 2.65, 4 Cu 2.91
W 0.0000 0.0000 0.6961 (multiplicity 2)  4 Cu 2.65, 4 W 2.91

=====

[15]
LaCuW2 | GGA-PBE | optimized geometry

Output
Formation enthalpy at 0 K in meV/atom: 871.8
Crystal system: trigonal
M_tot in μB/f.u.: 0.2

abc: 2.8613 2.8613 31.1241
angles: 90.00 90.00 120.00
Closest atoms and distances in Å follow each position.
Space group R-3m (No. 166, hexagonal axes)
One atom of each set of equivalent atoms:
La 0.0000 0.0000 0.0000 (multiplicity 3)  6 La 2.86
Cu 0.0000 0.0000 0.5000 (multiplicity 3)  6 W 2.75, 6 Cu 2.86
W 0.0000 0.0000 0.2371 (multiplicity 6)  3 Cu 2.75, 6 W 2.86

=====

[16]
LaCu4W | GGA-PBE | optimized geometry

Output
Formation enthalpy at 0 K in meV/atom: 347.7
Crystal system: cubic
M_tot in μB/f.u.: 1.0

abc: 7.2238 7.2238 7.2238
angles: 90.00 90.00 90.00
Closest atoms and distances in Å follow each position.
Space group F-43m (No. 216)
One atom of each set of equivalent atoms:
La 0.0000 0.0000 0.0000 (multiplicity 4)  12 Cu 3.00, 4 W 3.13
Cu 0.1231 0.1231 0.6231 (multiplicity 16)  6 Cu 2.52-2.59
W 0.2500 0.2500 0.2500 (multiplicity 4)  12 Cu 2.99, 4 La 3.13

=====

[17]
LaCuW2 | GGA-PBE | optimized geometry

Output
Formation enthalpy at 0 K in meV/atom: 686.6
Crystal system: tetragonal
M_tot in μB/f.u.: 0.0

abc: 3.3597 3.3597 6.9843
angles: 90.00 90.00 90.00
Closest atoms and distances in Å follow each position.
Space group P4/mmm (No. 123)
One atom of each set of equivalent atoms:
La 0.0000 0.0000 0.0000 (multiplicity 1)  8 W 3.31, 4 La 3.36, 2 Cu 3.49
Cu 0.0000 0.0000 0.5000 (multiplicity 1)  8 W 2.65
W 0.5000 0.5000 0.3310 (multiplicity 2)  1 W 2.36

=====

[18]
LaCuW2 | GGA-PBE | optimized geometry

Output
Formation enthalpy at 0 K in meV/atom: 1106.0
Crystal system: tetragonal
M_tot in μB/f.u.: 0.0

abc: 4.7354 4.7354 17.9396
angles: 90.00 90.00 90.00
Closest atoms and distances in Å follow each position.
Space group I-42d (No. 122)
One atom of each set of equivalent atoms:
La 0.0000 0.0000 0.0000 (multiplicity 4)  4 Cu 3.35, 8 W 3.39-3.55
Cu 0.0000 0.0000 0.5000 (multiplicity 4)  4 W 2.54
W 0.0240 0.7500 0.6250 (multiplicity 8)  2 W 2.38, 2 Cu 2.54

=====

[19]
LaCuW2 | GGA-PBE | optimized geometry

Output
Formation enthalpy at 0 K in meV/atom: 651.9
Crystal system: cubic
M_tot in μB/f.u.: 0.0

abc: 6.6796 6.6796 6.6796
angles: 90.00 90.00 90.00
Closest atoms and distances in Å follow each position.
Space group F-43m (No. 216)
One atom of each set of equivalent atoms:
La 0.0000 0.0000 0.0000 (multiplicity 4)  4 W 2.89, 4 Cu 2.89
Cu 0.2500 0.2500 0.2500 (multiplicity 4)  4 La 2.89, 4 W 2.89
W 0.0000 0.0000 0.5000 (multiplicity 4)  4 Cu 2.89, 4 W 2.89
W 0.2500 0.2500 0.7500 (multiplicity 4)  4 La 2.89, 4 W 2.89

=====

[20]
LaY2Cu | GGA-PBE | optimized geometry

Output
Formation enthalpy at 0 K in meV/atom: 85.9
Crystal system: monoclinic
M_tot in μB/f.u.: 0.0

abc: 3.7687 4.8519 6.4898
angles: 90.00 105.95 90.00
Closest atoms and distances in Å follow each position.
Space group P2/m (No. 10)
One atom of each set of equivalent atoms:
La 0.0000 0.0000 0.0000 (multiplicity 1)  2 Cu 3.24, 8 Y 3.51-3.56
Y 0.3784 0.5000 0.7191 (multiplicity 2)  2 Cu 2.97, 1 Y 3.22
Cu 0.0000 0.0000 0.5000 (multiplicity 1)  4 Y 2.97, 2 La 3.24